! Na2LaAgH | Alexandria | PBE | optimized geometry; values from VASP
&SYSTEM
  ibrav = 0, nat = 5, ntyp = 4
/
ATOMIC_SPECIES
Na 22.99 Na.upf
La 138.91 La.upf
Ag 107.87 Ag.upf
H 1.01 H.upf
CELL_PARAMETERS angstrom
4.602 0.000 0.000
0.000 4.602 0.000
0.000 0.000 5.309
ATOMIC_POSITIONS angstrom
Na 0.000 2.301 0.000
Na 2.301 0.000 0.000
La 0.000 0.000 2.654
Ag 2.301 2.301 2.654
H 0.000 0.000 0.000
! DOS at the Fermi energy	2.9	states/eV/f.u.
! DFT total energy	-14.10	eV per cell